Material: RbScMn2Os
Method: DFT, PBE
State: relaxed

CIF file:
```
data_RbScMn2Os
_chemical_formula_sum 'Rb1 Sc1 Mn2 Os1'
_cell_length_a 4.673
_cell_length_b 4.673
_cell_length_c 5.184
_cell_angle_alpha 90.00
_cell_angle_beta 90.00
_cell_angle_gamma 90.00
_symmetry_space_group_name_H-M 'P 1'
_symmetry_Int_Tables_number 1
loop_
_symmetry_equiv_pos_as_xyz
'x,y,z'
loop_
_atom_site_label
_atom_site_type_symbol
_atom_site_fract_x
_atom_site_fract_y
_atom_site_fract_z
_atom_site_occupancy
Rb1 Rb 0.000 0.000 0.000 1
Sc1 Sc 0.000 0.000 0.500 1
Mn1 Mn 0.000 0.500 0.500 1
Mn2 Mn 0.500 0.000 0.500 1
Os1 Os 0.500 0.500 0.000 1
```

Output
E_tot   -0.1881 Ha/atom
SG   No. 123
Energy of formation   1087.9 kJ/mol of formula units